First-principles (PBE-GGA) data for a geometry-optimized TlZnTcSn2 structure, as listed in Alexandria.

Values from the calculation:
Crystal system: tetragonal
E (eV per atom): -4.22
Total moment (μB/f.u.): 0.0
Distance to the lowest polymorph of the same formula (meV/atom): 0
Space-group type: P4/mmm
Calculated formation energy (eV/f.u.): 0.92

abc: 5.1625 5.1625 5.0578
angles: 90.00 90.00 90.00
Sites, in units of the cell vectors:
1 Tl 0.0000 0.0000 0.0000
2 Zn 0.5000 0.5000 0.0000
3 Tc 0.5000 0.5000 0.5000
4 Sn 0.0000 0.5000 0.5000
5 Sn 0.5000 0.0000 0.5000


First-principles (PBE-GGA) data for a geometry-optimized Te2POs structure, as listed in Alexandria.

Values from the calculation:
Crystal system: tetragonal
E (eV per atom): -4.97
Total moment (μB/f.u.): 0.0
Distance to the lowest polymorph of the same formula (meV/atom): 665
Space-group type: P4/mmm
Formation energy (no corrections) (eV/atom): 0.762

abc: 3.1718 3.1718 8.1533
angles: 90.00 90.00 90.00
Sites, in units of the cell vectors:
1 Te 0.0000 0.0000 0.2168
2 Te 0.0000 0.0000 0.7832
3 P 0.5000 0.5000 0.5000
4 Os 0.5000 0.5000 0.0000


First-principles (PBE-GGA) data for a geometry-optimized NdHgPt structure, as listed in Alexandria.

Values from the calculation:
Crystal system: orthorhombic
E (eV per atom): -4.50
Total moment (μB/f.u.): 0.0
Space-group type: Pmma
Calculated formation energy (eV/f.u.): -2.39

abc: 13.5095 3.9864 7.8883
angles: 90.00 90.00 90.00
Sites, in units of the cell vectors:
1 Nd 0.0508 0.0000 0.2324
2 Nd 0.2500 0.0000 0.8290
3 Nd 0.4492 0.0000 0.2324
4 Nd 0.5508 0.0000 0.7676
5 Nd 0.7500 0.0000 0.1710
6 Nd 0.9492 0.0000 0.7676
7 Hg 0.1113 0.5000 0.5651
8 Hg 0.2500 0.5000 0.1817
9 Hg 0.3887 0.5000 0.5651
10 Hg 0.6113 0.5000 0.4349
11 Hg 0.7500 0.5000 0.8183
12 Hg 0.8887 0.5000 0.4349
13 Pt 0.0943 0.5000 0.9323
14 Pt 0.2500 0.0000 0.4406
15 Pt 0.4057 0.5000 0.9323
16 Pt 0.5943 0.5000 0.0677
17 Pt 0.7500 0.0000 0.5594
18 Pt 0.9057 0.5000 0.0677


First-principles (PBE-GGA) data for a geometry-optimized Cs3La2TbTe6 structure, as listed in Alexandria.

Values from the calculation:
Crystal system: monoclinic
E (eV per atom): -4.45
Total moment (μB/f.u.): 0.0
Space-group type: C2/m
Formation energy (no corrections) (eV/atom): -1.462

abc: 8.1461 8.1461 9.3341
angles: 98.38 98.38 119.99
Sites, in units of the cell vectors:
1 Cs 0.0000 0.0000 0.0000
2 Cs 0.3309 0.6691 0.0000
3 Cs 0.6691 0.3309 0.0000
4 La 0.1664 0.8336 0.5000
5 La 0.8336 0.1664 0.5000
6 Tb 0.5000 0.5000 0.5000
7 Te 0.1121 0.4356 0.3065
8 Te 0.2417 0.2417 0.6947
9 Te 0.4356 0.1121 0.3065
10 Te 0.5644 0.8879 0.6935
11 Te 0.7583 0.7583 0.3053
12 Te 0.8879 0.5644 0.6935


First-principles (PBE-GGA) data for a geometry-optimized AlZnCrCu structure, as listed in Alexandria.

Values from the calculation:
Crystal system: cubic
E (eV per atom): -4.67
Total moment (μB/f.u.): 3.1
Space-group type: F-43m
Calculated formation energy (eV/f.u.): 0.06

abc: 4.2715 4.2715 4.2715
angles: 60.00 60.00 60.00
Sites, in units of the cell vectors:
1 Al 0.0000 0.0000 0.0000
2 Zn 0.5000 0.5000 0.5000
3 Cr 0.2500 0.2500 0.2500
4 Cu 0.7500 0.7500 0.7500


First-principles (PBE-GGA) data for a geometry-optimized CeFe4P2 structure, as listed in Alexandria.

Values from the calculation:
Crystal system: tetragonal
E (eV per atom): -7.47
Total moment (μB/f.u.): 2.5
Distance to the lowest polymorph of the same formula (meV/atom): 406
Space-group type: I4/mmm
Calculated formation energy (eV/f.u.): -1.67

abc: 8.1410 8.1410 8.1410
angles: 154.93 154.93 35.75
Sites, in units of the cell vectors:
1 Ce 0.0000 0.0000 0.0000
2 Fe 0.1365 0.1365 0.0000
3 Fe 0.2500 0.7500 0.5000
4 Fe 0.7500 0.2500 0.5000
5 Fe 0.8635 0.8635 0.0000
6 P 0.3473 0.3473 0.0000
7 P 0.6527 0.6527 0.0000


First-principles (PBE-GGA) data for a geometry-optimized LiTlOsBr6 structure, as listed in Alexandria.

Values from the calculation:
Crystal system: trigonal
E (eV per atom): -3.41
Total moment (μB/f.u.): 2.0
Space-group type: P-31c
Formation energy (no corrections) (eV/atom): -0.576

abc: 6.8739 6.8739 14.2703
angles: 90.00 90.00 120.00
Sites, in units of the cell vectors:
1 Li 0.3333 0.6667 0.2500
2 Li 0.6667 0.3333 0.7500
3 Tl 0.0000 0.0000 0.0000
4 Tl 0.0000 0.0000 0.5000
5 Os 0.3333 0.6667 0.7500
6 Os 0.6667 0.3333 0.2500
7 Br 0.0245 0.3819 0.6483
8 Br 0.0245 0.6427 0.8517
9 Br 0.3573 0.3819 0.8517
10 Br 0.3573 0.9755 0.6483
11 Br 0.3819 0.0245 0.1483
12 Br 0.3819 0.3573 0.3517
13 Br 0.6181 0.6427 0.6483
14 Br 0.6181 0.9755 0.8517
15 Br 0.6427 0.0245 0.3517
16 Br 0.6427 0.6181 0.1483
17 Br 0.9755 0.3573 0.1483
18 Br 0.9755 0.6181 0.3517


First-principles (PBE-GGA) data for a geometry-optimized SrAg2Rh structure, as listed in Alexandria.

Values from the calculation:
Crystal system: tetragonal
E (eV per atom): -3.66
Total moment (μB/f.u.): 0.0
Distance to the lowest polymorph of the same formula (meV/atom): 100
Space-group type: I4/mmm
Calculated formation energy (eV/f.u.): 0.09

abc: 5.4720 5.4720 5.4720
angles: 134.14 134.14 66.87
Sites, in units of the cell vectors:
1 Sr 0.0000 0.0000 0.0000
2 Ag 0.2500 0.7500 0.5000
3 Ag 0.7500 0.2500 0.5000
4 Rh 0.5000 0.5000 0.0000


First-principles (PBE-GGA) data for a geometry-optimized ZrSc2CdC structure, as listed in Alexandria.

Values from the calculation:
Crystal system: tetragonal
E (eV per atom): -6.74
Total moment (μB/f.u.): 0.0
Space-group type: P4/mmm
Calculated formation energy (eV/f.u.): -2.34

abc: 4.5402 4.5402 4.6149
angles: 90.00 90.00 90.00
Sites, in units of the cell vectors:
1 Zr 0.0000 0.0000 0.0000
2 Sc 0.0000 0.5000 0.5000
3 Sc 0.5000 0.0000 0.5000
4 Cd 0.5000 0.5000 0.0000
5 C 0.0000 0.0000 0.5000


First-principles (PBE-GGA) data for a geometry-optimized Cu3SbF12 structure, as listed in Alexandria.

Values from the calculation:
Crystal system: cubic
E (eV per atom): -4.16
Total moment (μB/f.u.): 1.2
Space-group type: Im-3m
Formation energy (no corrections) (eV/atom): -1.728

abc: 6.7917 6.7917 6.7917
angles: 109.47 109.47 109.47
Sites, in units of the cell vectors:
1 Cu 0.0000 0.5000 0.5000
2 Cu 0.5000 0.0000 0.5000
3 Cu 0.5000 0.5000 0.0000
4 Sb 0.0000 0.0000 0.0000
5 F 0.0000 0.2431 0.2431
6 F 0.0000 0.7569 0.7569
7 F 0.2431 0.0000 0.2431
8 F 0.2431 0.2431 0.0000
9 F 0.2500 0.5000 0.7500
10 F 0.2500 0.7500 0.5000
11 F 0.5000 0.2500 0.7500
12 F 0.5000 0.7500 0.2500
13 F 0.7500 0.2500 0.5000
14 F 0.7500 0.5000 0.2500
15 F 0.7569 0.0000 0.7569
16 F 0.7569 0.7569 0.0000


First-principles (PBE-GGA) data for a geometry-optimized Y2ScBiN structure, as listed in Alexandria.

Values from the calculation:
Crystal system: tetragonal
E (eV per atom): -7.25
Total moment (μB/f.u.): 0.0
Space-group type: P4/mmm
Formation energy (no corrections) (eV/atom): -0.961

abc: 4.9454 4.9454 4.4045
angles: 90.00 90.00 90.00
Sites, in units of the cell vectors:
1 Y 0.0000 0.5000 0.0000
2 Y 0.5000 0.0000 0.0000
3 Sc 0.0000 0.0000 0.5000
4 Bi 0.5000 0.5000 0.5000
5 N 0.0000 0.0000 0.0000


First-principles (PBE-GGA) data for a geometry-optimized MnCo5S8 structure, as listed in Alexandria.

Values from the calculation:
Crystal system: cubic
E (eV per atom): -5.99
Total moment (μB/f.u.): 2.0
Space-group type: F-43m
Formation energy (no corrections) (eV/atom): -0.439

abc: 6.6688 6.6688 6.6688
angles: 60.00 60.00 60.00
Sites, in units of the cell vectors:
1 Mn 0.0000 0.0000 0.0000
2 Co 0.1301 0.6233 0.6233
3 Co 0.2500 0.2500 0.2500
4 Co 0.6233 0.1301 0.6233
5 Co 0.6233 0.6233 0.1301
6 Co 0.6233 0.6233 0.6233
7 S 0.3840 0.3840 0.3840
8 S 0.3840 0.3840 0.8479
9 S 0.3840 0.8479 0.3840
10 S 0.4118 0.8627 0.8627
11 S 0.8479 0.3840 0.3840
12 S 0.8627 0.4118 0.8627
13 S 0.8627 0.8627 0.4118
14 S 0.8627 0.8627 0.8627